KSiAu2 | PBE | relaxed

* size of the total moment: 0.00 μB per formula unit
* raw formation energy: -0.144 eV/atom

CIF file:
```
data_KSiAu2
_symmetry_space_group_name_H-M 'C 1 2/m 1'
_symmetry_Int_Tables_number 12
_cell_length_a 7.885
_cell_length_b 4.388
_cell_length_c 6.535
_cell_angle_alpha 90.00
_cell_angle_beta 113.50
_cell_angle_gamma 90.00
loop_
_symmetry_equiv_pos_as_xyz
'x,y,z'
'-x,-y,-z'
'-x,y,-z'
'x,-y,z'
'x+1/2,y+1/2,z'
'-x+1/2,-y+1/2,-z'
'-x+1/2,y+1/2,-z'
'x+1/2,-y+1/2,z'
loop_
_atom_site_label
_atom_site_fract_x
_atom_site_fract_y
_atom_site_fract_z
_atom_site_occupancy
K1 0.000 0.000 0.000 1
Si1 0.000 0.500 0.500 1
Au1 0.192 0.000 0.584 1
```